{"formula": "CeAl4Cu2Os", "functional": "PBE", "state": "optimized geometry", "ef_ev_per_fu": -2.28, "cell": [[4.191, 0.000, 0.000], [2.096, 3.630, 0.000], [2.096, 1.210, 9.057]], "species": ["Os", "Cu", "Cu", "Al", "Al", "Al", "Al", "Ce"], "fractional_positions": [[0.500, 0.500, 0.500], [0.767, 0.767, 0.698], [0.233, 0.233, 0.302], [0.594, 0.594, 0.218], [0.866, 0.866, 0.402], [0.134, 0.134, 0.598], [0.406, 0.406, 0.782], [0.000, 0.000, 0.000]]}